[1]
The following is a GGA-PBE calculation of an optimized crystal structure of Mg2AlGaN, from Alexandria via LeMat-Bulk.

It has space group P4/mmm (No. 123), with a = 4.3519 Å, b = 4.3519 Å, c = 3.9196 Å, α = 90.00°, β = 90.00° and γ = 90.00°. Symmetry generates all atoms from Mg at (0.0000, 0.5000, 0.0000), Al at (0.0000, 0.0000, 0.5000), Ga at (0.5000, 0.5000, 0.5000) and N at (0.0000, 0.0000, 0.0000).

The raw formation energy comes out at -1.6 eV per formula unit. The total energy is -3.975 eV/atom. The calculation puts the total magnetization at 0.00 μB/f.u.

=====

[2]
The following is a GGA-PBE calculation of an optimized crystal structure of Be2NiB, from Alexandria via LeMat-Bulk.

It has space group P4/mmm (No. 123), with a = 3.1221 Å, b = 3.1221 Å, c = 3.1696 Å, α = 90.00°, β = 90.00° and γ = 90.00°. Symmetry generates all atoms from Be at (0.0000, 0.5000, 0.0000), Ni at (0.0000, 0.0000, 0.5000) and B at (0.5000, 0.5000, 0.5000).

The value obtained for the energy relative to the elements is -0.13 eV per atom. The total energy is -5.108 eV/atom. The calculation puts the total magnetization at 0.00 μB/f.u.

=====

[3]
The following is a GGA-PBE calculation of an optimized crystal structure of In2RhI, from Alexandria via LeMat-Bulk.

It has space group I-42d (No. 122), with a = 6.6053 Å, b = 6.6053 Å, c = 13.4296 Å, α = 90.00°, β = 90.00° and γ = 90.00°. Symmetry generates all atoms from In at (0.1564, 0.2500, 0.1250), Rh at (0.0000, 0.0000, 0.0000) and I at (0.0000, 0.0000, 0.5000).

The value obtained for the energy above the most stable polymorph in this dataset is 0.0 meV/atom. The raw formation energy comes out at 0.3 eV per formula unit. The total energy is -3.523 eV/atom. The calculation puts the total magnetization at 0.00 μB/f.u.